# 1
{"formula": "MgZrSc2", "functional": "PBE", "state": "relaxed", "crystal_system": "monoclinic", "formation_enthalpy_0k_mev_per_atom": 42, "lattice_angstrom": [[-2.736, -2.048, -4.381], [0.335, -2.799, -4.788], [-1.064, -5.285, 1.732]], "species": ["Sc", "Sc", "Zr", "Mg"], "fractional_positions": [[0.999, 0.999, 0.989], [0.501, 0.501, 0.511], [0.750, 0.750, 0.750], [0.250, 0.250, 0.250]]}



# 2
{"formula": "Ir4W3", "functional": "PBE", "state": "relaxed", "crystal_system": "tetragonal", "relative_energy_mev_per_atom": 0, "formation_enthalpy_0k_mev_per_atom": 53, "lattice_angstrom": [[-1.657, 1.657, 9.938], [1.657, -1.657, 9.938], [1.657, 1.657, -9.938]], "species": ["Ir", "Ir", "Ir", "Ir", "W", "W", "W"], "fractional_positions": [[0.431, 0.431, 0.000], [0.147, 0.147, 0.000], [0.853, 0.853, 0.000], [0.569, 0.569, 0.000], [0.000, 0.000, 0.000], [0.708, 0.708, 0.000], [0.292, 0.292, 0.000]]}



# 3
{"formula": "Hf2MoIrCl", "functional": "PBE", "state": "relaxed", "e_form_raw_ev_per_fu": 2.9, "crystal_system": "tetragonal", "lattice_angstrom": [[4.659, 0.000, 0.000], [0.000, 4.372, 0.000], [0.000, 0.000, 4.659]], "species": ["Hf", "Hf", "Mo", "Ir", "Cl"], "fractional_positions": [[0.500, 0.000, 0.000], [0.000, 0.000, 0.500], [0.500, 0.500, 0.500], [0.000, 0.500, 0.000], [0.000, 0.000, 0.000]]}



# 4
{"formula": "CuPBr2", "functional": "PBE", "state": "relaxed", "e_form_raw_ev_per_fu": -0.2, "crystal_system": "orthorhombic", "relative_energy_mev_per_atom": 103, "lattice_angstrom": [[8.355, 0.600, -0.092], [5.844, 6.001, 0.092], [-6.676, -4.211, 2.805]], "species": ["P", "Br", "Br", "Cu"], "fractional_positions": [[0.437, 0.937, 0.500], [0.638, 0.138, 0.500], [0.891, 0.891, 0.000], [0.533, 0.533, 0.000]]}



# 5
{"formula": "BaCaPbI6", "functional": "PBE", "state": "relaxed", "e_form_raw_ev_per_fu": -11.9, "crystal_system": "trigonal", "lattice_angstrom": [[8.156, 0.000, 0.000], [-4.078, 7.064, 0.000], [0.000, 0.000, 15.115]], "species": ["I", "I", "I", "I", "I", "I", "I", "I", "I", "I", "I", "I", "Pb", "Pb", "Ba", "Ba", "Ca", "Ca"], "fractional_positions": [[0.009, 0.649, 0.871], [0.991, 0.639, 0.371], [0.639, 0.991, 0.871], [0.649, 0.009, 0.371], [0.351, 0.361, 0.871], [0.991, 0.351, 0.129], [0.009, 0.361, 0.629], [0.351, 0.991, 0.629], [0.361, 0.351, 0.371], [0.361, 0.009, 0.129], [0.639, 0.649, 0.629], [0.649, 0.639, 0.129], [0.333, 0.667, 0.250], [0.667, 0.333, 0.750], [0.000, 0.000, 0.000], [0.000, 0.000, 0.500], [0.667, 0.333, 0.250], [0.333, 0.667, 0.750]]}



# 6
{"formula": "Pu8SnRu6", "functional": "PBE", "state": "relaxed", "crystal_system": "trigonal", "formation_enthalpy_0k_mev_per_atom": -32, "lattice_angstrom": [[8.302, 0.000, 0.000], [4.151, 7.190, 0.000], [4.151, 2.397, 5.544]], "species": ["Ru", "Ru", "Ru", "Ru", "Ru", "Ru", "Pu", "Pu", "Pu", "Pu", "Pu", "Pu", "Pu", "Pu", "Sn"], "fractional_positions": [[0.618, 0.956, 0.140], [0.956, 0.285, 0.140], [0.044, 0.715, 0.860], [0.285, 0.618, 0.140], [0.382, 0.044, 0.860], [0.715, 0.382, 0.860], [0.673, 0.673, 0.980], [0.327, 0.327, 0.020], [0.134, 0.409, 0.648], [0.409, 0.808, 0.648], [0.808, 0.134, 0.648], [0.591, 0.192, 0.352], [0.192, 0.866, 0.352], [0.866, 0.591, 0.352], [0.000, 0.000, 0.000]]}



# 7
{"formula": "B2AuI8", "functional": "PBE", "state": "relaxed", "e_form_raw_ev_per_fu": 0.1, "crystal_system": "monoclinic", "relative_energy_mev_per_atom": 0, "lattice_angstrom": [[-4.703, -5.349, 1.679], [5.076, -5.399, -3.651], [4.754, -1.937, 6.472]], "species": ["I", "I", "I", "I", "I", "I", "I", "I", "B", "B", "Au"], "fractional_positions": [[0.799, 0.042, 0.709], [0.196, 0.385, 0.385], [0.615, 0.229, 0.229], [0.201, 0.291, 0.958], [0.201, 0.958, 0.291], [0.799, 0.709, 0.042], [0.385, 0.771, 0.771], [0.804, 0.615, 0.615], [0.313, 0.225, 0.225], [0.687, 0.775, 0.775], [0.000, 0.000, 0.000]]}



# 8
{"formula": "Al5Tl3I12", "functional": "PBE", "state": "relaxed", "e_form_raw_ev_per_fu": -7.8, "crystal_system": "cubic", "lattice_angstrom": [[-0.785, -13.224, 9.979], [-6.715, -3.754, -14.693], [15.852, 4.388, -2.126]], "species": ["I", "I", "I", "I", "I", "I", "I", "I", "I", "I", "I", "I", "I", "I", "I", "I", "I", "I", "I", "I", "I", "I", "I", "I", "I", "I", "I", "I", "I", "I", "I", "I", "I", "I", "I", "I", "I", "I", "I", "I", "I", "I", "I", "I", "I", "I", "I", "I", "Al", "Al", "Al", "Al", "Al", "Al", "Al", "Al", "Al", "Al", "Al", "Al", "Al", "Al", "Al", "Al", "Al", "Al", "Al", "Al", "Tl", "Tl", "Tl", "Tl", "Tl", "Tl", "Tl", "Tl", "Tl", "Tl", "Tl", "Tl"], "fractional_positions": [[0.808, 0.899, 0.015], [0.308, 0.515, 0.399], [0.116, 0.707, 0.515], [0.116, 0.409, 0.101], [0.485, 0.793, 0.884], [0.091, 0.192, 0.207], [0.793, 0.485, 0.384], [0.692, 0.485, 0.601], [0.399, 0.384, 0.591], [0.384, 0.399, 0.091], [0.101, 0.192, 0.485], [0.409, 0.116, 0.601], [0.591, 0.707, 0.692], [0.293, 0.884, 0.985], [0.909, 0.808, 0.793], [0.207, 0.515, 0.616], [0.909, 0.101, 0.616], [0.091, 0.899, 0.384], [0.616, 0.601, 0.909], [0.884, 0.293, 0.485], [0.884, 0.591, 0.899], [0.692, 0.207, 0.591], [0.601, 0.616, 0.409], [0.793, 0.308, 0.909], [0.899, 0.091, 0.884], [0.515, 0.308, 0.899], [0.192, 0.101, 0.985], [0.707, 0.591, 0.192], [0.207, 0.692, 0.091], [0.485, 0.692, 0.101], [0.015, 0.399, 0.808], [0.101, 0.909, 0.116], [0.985, 0.384, 0.293], [0.808, 0.909, 0.293], [0.985, 0.601, 0.192], [0.308, 0.793, 0.409], [0.293, 0.409, 0.808], [0.384, 0.985, 0.793], [0.707, 0.116, 0.015], [0.616, 0.015, 0.207], [0.899, 0.808, 0.515], [0.409, 0.293, 0.308], [0.591, 0.884, 0.399], [0.601, 0.985, 0.692], [0.015, 0.616, 0.707], [0.515, 0.207, 0.116], [0.192, 0.091, 0.707], [0.399, 0.015, 0.308], [0.625, 0.875, 0.250], [0.875, 0.625, 0.750], [0.500, 0.500, 0.500], [0.000, 0.000, 0.500], [0.125, 0.750, 0.375], [0.750, 0.125, 0.875], [0.875, 0.250, 0.625], [0.000, 0.500, 0.500], [0.125, 0.375, 0.250], [0.500, 0.500, 0.000], [0.625, 0.750, 0.875], [0.000, 0.500, 0.000], [0.500, 0.000, 0.000], [0.250, 0.875, 0.125], [0.500, 0.000, 0.500], [0.375, 0.125, 0.750], [0.250, 0.375, 0.625], [0.375, 0.250, 0.125], [0.750, 0.625, 0.375], [0.000, 0.000, 0.000], [0.625, 0.250, 0.375], [0.375, 0.625, 0.250], [0.750, 0.875, 0.625], [0.750, 0.375, 0.125], [0.625, 0.375, 0.750], [0.250, 0.125, 0.375], [0.125, 0.250, 0.875], [0.375, 0.750, 0.625], [0.875, 0.125, 0.250], [0.875, 0.750, 0.125], [0.125, 0.875, 0.750], [0.250, 0.625, 0.875]]}



Please write out number 2 again, unchanged.
{"formula": "Ir4W3", "functional": "PBE", "state": "relaxed", "crystal_system": "tetragonal", "relative_energy_mev_per_atom": 0, "formation_enthalpy_0k_mev_per_atom": 53, "lattice_angstrom": [[-1.657, 1.657, 9.938], [1.657, -1.657, 9.938], [1.657, 1.657, -9.938]], "species": ["Ir", "Ir", "Ir", "Ir", "W", "W", "W"], "fractional_positions": [[0.431, 0.431, 0.000], [0.147, 0.147, 0.000], [0.853, 0.853, 0.000], [0.569, 0.569, 0.000], [0.000, 0.000, 0.000], [0.708, 0.708, 0.000], [0.292, 0.292, 0.000]]}



Copy entry 3 word for word.
{"formula": "Hf2MoIrCl", "functional": "PBE", "state": "relaxed", "e_form_raw_ev_per_fu": 2.9, "crystal_system": "tetragonal", "lattice_angstrom": [[4.659, 0.000, 0.000], [0.000, 4.372, 0.000], [0.000, 0.000, 4.659]], "species": ["Hf", "Hf", "Mo", "Ir", "Cl"], "fractional_positions": [[0.500, 0.000, 0.000], [0.000, 0.000, 0.500], [0.500, 0.500, 0.500], [0.000, 0.500, 0.000], [0.000, 0.000, 0.000]]}



Number 4 is which compound? CuPBr2